An optimized crystal structure of In4HgBr2Cl, computed with PBE-GGA.

## Properties
The electronic total energy comes out at -2.496 eV per atom. For the total magnetization, the calculation gives 0.0 μB per cell. The density of states at the Fermi level comes out at 0.30 states/eV per atom. The energy relative to the elements, uncorrected is -0.441 eV/atom. The value obtained for the volume is 32.591 A^3/atom.

Unit cell a=4.1005 b=8.0627 c=8.1029 alpha=76.72 beta=90.00 gamma=90.00
Positions (direct):
Cl1 0.5000 0.5000 0.0000
In1 0.5000 0.7329 0.2572
In2 0.5000 0.2671 0.7428
In3 0.0000 0.7401 0.7539
In4 0.0000 0.2599 0.2461
Hg1 0.0000 0.5000 0.5000
Br1 0.0000 0.0000 0.0000
Br2 0.5000 0.0000 0.5000